Model one:
BaOs3 after structural relaxation. Source: Alexandria via LeMat-Bulk, functional PBEsol.

Results
SG	Immm, No. 71
mass density	15.81	g/cm³

Unit cell a=2.847 b=5.133 c=5.875 alpha=115.90 beta=104.02 gamma=90.00
Atoms (fractional coordinates):
Os  0.500  0.000  0.000
Os  0.785  0.785  0.571
Os  0.215  0.215  0.429
Ba  0.000  0.500  0.000

Model two:
BaOs3 after structural relaxation. Source: Alexandria via LeMat-Bulk, functional PBEsol.

Results
SG	P4/mmm, No. 123
mass density	16.11	g/cm³

Unit cell a=2.889 b=2.889 c=8.746 alpha=90.00 beta=90.00 gamma=90.00
Atoms (fractional coordinates):
Os  0.500  0.500  0.307
Os  0.500  0.500  0.693
Os  0.000  0.000  0.500
Ba  0.000  0.000  0.000

Of them, model one has the lowest stability.

Model one:
BaP2Os after structural relaxation. Source: Alexandria via LeMat-Bulk, functional PBEsol.

Results
SG	I-4m2, No. 119
mass density	8.39	g/cm³

Unit cell a=4.316 b=4.316 c=5.140 alpha=114.83 beta=114.83 gamma=90.00
Atoms (fractional coordinates):
P  0.750  0.250  0.500
P  0.000  0.000  0.000
Ba  0.500  0.500  0.000
Os  0.250  0.750  0.500

Model two:
BaP2Os after structural relaxation. Source: Alexandria via LeMat-Bulk, functional PBEsol.

Results
SG	Fm-3m, No. 225
mass density	8.78	g/cm³

Unit cell a=4.706 b=4.706 c=4.706 alpha=60.00 beta=60.00 gamma=60.00
Atoms (fractional coordinates):
P  0.250  0.250  0.250
P  0.750  0.750  0.750
Os  0.000  0.000  0.000
Ba  0.500  0.500  0.500

Of them, model one has the lowest stability.

Model one:
BaOsPt2 after structural relaxation. Source: Alexandria via LeMat-Bulk, functional PBEsol.

Results
SG	Fm-3m, No. 225
mass density	15.22	g/cm³

Unit cell a=4.802 b=4.802 c=4.802 alpha=60.00 beta=60.00 gamma=60.00
Each line ends with the local moment (μB).
Atoms (fractional coordinates):
Ba  0.000  0.000  0.000  0.01
Pt  0.750  0.750  0.750  0.19
Pt  0.250  0.250  0.250  0.19
Os  0.500  0.500  0.500  1.32

Model two:
BaOsPt2 after structural relaxation. Source: Alexandria via LeMat-Bulk, functional PBEsol.

Results
SG	P4/mmm, No. 123
mass density	14.92	g/cm³

Unit cell a=3.271 b=3.271 c=7.467 alpha=90.00 beta=90.00 gamma=90.00
Atoms (fractional coordinates):
Ba  0.500  0.500  0.000
Os  0.500  0.500  0.500
Pt  0.000  0.000  0.679
Pt  0.000  0.000  0.321

Model three:
BaOsPt2 after structural relaxation. Source: Alexandria via LeMat-Bulk, functional PBEsol.

Results
SG	Pmm2, No. 25
mass density	14.80	g/cm³

Unit cell a=2.889 b=3.802 c=7.333 alpha=90.00 beta=90.00 gamma=90.00
Atoms (fractional coordinates):
Os  0.500  0.500  0.836
Ba  0.000  0.000  0.496
Pt  0.500  0.500  0.192
Pt  0.000  0.000  0.976

Of them, model one has the lowest stability.

Model one:
BaOs2Pt after structural relaxation. Source: Alexandria via LeMat-Bulk, functional PBEsol.

Results
SG	Imm2, No. 44
mass density	13.12	g/cm³

Unit cell a=3.597 b=5.561 c=5.595 alpha=119.80 beta=108.75 gamma=90.00
Atoms (fractional coordinates):
Ba  0.245  0.745  0.490
Os  0.740  0.240  0.479
Os  0.073  0.073  0.145
Pt  0.443  0.443  0.885

Model two:
BaOs2Pt after structural relaxation. Source: Alexandria via LeMat-Bulk, functional PBEsol.

Results
SG	R-3m, No. 166
mass density	16.25	g/cm³

Unit cell a=2.879 b=2.879 c=10.281 alpha=81.95 beta=81.95 gamma=60.00
Atoms (fractional coordinates):
Ba  0.000  0.000  0.000
Os  0.236  0.236  0.291
Os  0.764  0.764  0.709
Pt  0.500  0.500  0.500

Of them, model two has the lowest stability.

Model one:
BaOsRh2 after structural relaxation. Source: Alexandria via LeMat-Bulk, functional PBEsol.

Results
SG	Amm2, No. 38
mass density	11.36	g/cm³

Unit cell a=2.877 b=4.225 c=6.575 alpha=90.00 beta=102.68 gamma=90.00
Atoms (fractional coordinates):
Rh  0.910  0.500  0.194
Rh  0.795  0.000  0.965
Os  0.242  0.500  0.859
Ba  0.554  0.000  0.482

Model two:
BaOsRh2 after structural relaxation. Source: Alexandria via LeMat-Bulk, functional PBEsol.

Results
SG	F-43m, No. 216
mass density	12.37	g/cm³

Unit cell a=4.661 b=4.661 c=4.661 alpha=60.00 beta=60.00 gamma=60.00
Each line ends with the local moment (μB).
Atoms (fractional coordinates):
Os  0.250  0.250  0.250  0.73
Rh  0.000  0.000  0.000  0.31
Rh  0.750  0.750  0.750  0.09
Ba  0.500  0.500  0.500  0.01

Model three:
BaOsRh2 after structural relaxation. Source: Alexandria via LeMat-Bulk, functional PBEsol.

Results
SG	P4mm, No. 99
mass density	11.94	g/cm³

Unit cell a=3.047 b=3.047 c=7.988 alpha=90.00 beta=90.00 gamma=90.00
Atoms (fractional coordinates):
Os  0.500  0.500  0.821
Rh  0.500  0.500  0.190
Rh  0.000  0.000  0.994
Ba  0.000  0.000  0.496

Of them, model two has the lowest stability.

Model one:
BaOsRu2 after structural relaxation. Source: Alexandria via LeMat-Bulk, functional PBEsol.

Results
SG	Pm, No. 6
mass density	11.11	g/cm³

Unit cell a=2.879 b=4.119 c=6.834 alpha=90.00 beta=102.30 gamma=90.00
Atoms (fractional coordinates):
Ru  0.799  0.000  0.974
Ru  0.902  0.500  0.178
Os  0.240  0.500  0.857
Ba  0.560  0.000  0.491

Model two:
BaOsRu2 after structural relaxation. Source: Alexandria via LeMat-Bulk, functional PBEsol.

Results
SG	Fm-3m, No. 225
mass density	12.44	g/cm³

Unit cell a=4.642 b=4.642 c=4.642 alpha=60.00 beta=60.00 gamma=60.00
Each line ends with the local moment (μB).
Atoms (fractional coordinates):
Ba  0.000  0.000  0.000  -0.03
Os  0.500  0.500  0.500  0.67
Ru  0.750  0.750  0.750  0.72
Ru  0.250  0.250  0.250  0.72

Model three:
BaOsRu2 after structural relaxation. Source: Alexandria via LeMat-Bulk, functional PBEsol.

Results
SG	Immm, No. 71
mass density	10.54	g/cm³

Unit cell a=3.314 b=5.520 c=5.583 alpha=119.63 beta=107.27 gamma=90.00
Atoms (fractional coordinates):
Os  0.000  0.500  0.000
Ba  0.500  0.000  0.000
Ru  0.690  0.690  0.379
Ru  0.310  0.310  0.621

Of them, model two has the lowest stability.

Model one:
BaOs2Ru after structural relaxation. Source: Alexandria via LeMat-Bulk, functional PBEsol.

Results
SG	Amm2, No. 38
mass density	12.77	g/cm³

Unit cell a=2.870 b=4.080 c=7.021 alpha=90.00 beta=101.84 gamma=90.00
Atoms (fractional coordinates):
Os  0.991  0.000  0.107
Os  0.550  0.500  0.224
Ru  0.652  0.000  0.430
Ba  0.307  0.500  0.739

Model two:
BaOs2Ru after structural relaxation. Source: Alexandria via LeMat-Bulk, functional PBEsol.

Results
SG	I-4m2, No. 119
mass density	14.60	g/cm³

Unit cell a=4.437 b=4.757 c=4.437 alpha=62.20 beta=90.00 gamma=117.80
Atoms (fractional coordinates):
Os  0.000  0.000  0.000
Os  0.250  0.500  0.250
Ba  0.750  0.500  0.750
Ru  0.500  0.000  0.500

Model three:
BaOs2Ru after structural relaxation. Source: Alexandria via LeMat-Bulk, functional PBEsol.

Results
SG	Pmmm, No. 47
mass density	13.31	g/cm³

Unit cell a=2.819 b=3.659 c=7.486 alpha=90.00 beta=90.00 gamma=90.00
Atoms (fractional coordinates):
Os  0.000  0.000  0.831
Os  0.000  0.000  0.169
Ru  0.500  0.500  0.000
Ba  0.500  0.500  0.500

Of them, model two has the lowest stability.

Model one:
BaSiOs3 after structural relaxation. Source: Alexandria via LeMat-Bulk, functional PBEsol.

Results
SG	Pm-3m, No. 221
mass density	9.96	g/cm³

Unit cell a=4.970 b=4.970 c=4.970 alpha=90.00 beta=90.00 gamma=90.00
Each line ends with the local moment (μB).
Atoms (fractional coordinates):
Os  0.500  0.000  0.000  0.98
Os  0.000  0.000  0.500  0.98
Os  0.000  0.500  0.000  0.98
Si  0.500  0.500  0.500  -0.06
Ba  0.000  0.000  0.000  -0.02

Model two:
BaSiOs3 after structural relaxation. Source: Alexandria via LeMat-Bulk, functional PBEsol.

Results
SG	Pm-3m, No. 221
mass density	12.76	g/cm³

Unit cell a=4.575 b=4.575 c=4.575 alpha=90.00 beta=90.00 gamma=90.00
Each line ends with the local moment (μB).
Atoms (fractional coordinates):
Os  0.500  0.000  0.000  0.35
Os  0.000  0.500  0.000  0.35
Os  0.000  0.000  0.500  0.35
Si  0.000  0.000  0.000  -0.01
Ba  0.500  0.500  0.500  0.02

Of them, model one has the lowest stability.

Model one:
Ba2SrOs after structural relaxation. Source: Alexandria via LeMat-Bulk, functional PBEsol.

Results
SG	Cmm2, No. 35
mass density	6.27	g/cm³

Unit cell a=3.695 b=3.695 c=10.712 alpha=90.00 beta=90.00 gamma=90.09
Atoms (fractional coordinates):
Os  0.000  0.000  0.496
Ba  0.000  0.000  0.004
Ba  0.500  0.500  0.663
Sr  0.500  0.500  0.336

Model two:
Ba2SrOs after structural relaxation. Source: Alexandria via LeMat-Bulk, functional PBEsol.

Results
SG	I-4m2, No. 119
mass density	7.65	g/cm³

Unit cell a=5.339 b=5.652 c=5.339 alpha=61.81 beta=90.00 gamma=118.19
Atoms (fractional coordinates):
Sr  0.750  0.500  0.750
Ba  0.250  0.500  0.250
Ba  0.000  0.000  0.000
Os  0.500  0.000  0.500

Of them, model two has the lowest stability.

Model one:
BaTcOs2 after structural relaxation. Source: Alexandria via LeMat-Bulk, functional PBEsol.

Results
SG	I4/mmm, No. 139
mass density	14.35	g/cm³

Unit cell a=4.443 b=4.785 c=4.443 alpha=117.66 beta=90.00 gamma=117.66
Atoms (fractional coordinates):
Tc  0.500  0.000  0.500
Os  0.250  0.500  0.750
Os  0.750  0.500  0.250
Ba  0.000  0.000  0.000

Model two:
BaTcOs2 after structural relaxation. Source: Alexandria via LeMat-Bulk, functional PBEsol.

Results
SG	P4/mmm, No. 123
mass density	14.07	g/cm³

Unit cell a=2.927 b=4.982 c=4.982 alpha=90.00 beta=90.00 gamma=90.00
Each line ends with the local moment (μB).
Atoms (fractional coordinates):
Tc  0.500  0.500  0.500  0.00
Ba  0.500  0.000  0.000  0.00
Os  0.000  0.500  0.000  0.07
Os  0.000  0.000  0.500  0.07

Of them, model two has the lowest stability.

Model one:
BaOs2W after structural relaxation. Source: Alexandria via LeMat-Bulk, functional PBEsol.

Results
SG	Pmm2, No. 25
mass density	14.29	g/cm³

Unit cell a=2.847 b=3.708 c=7.722 alpha=90.00 beta=90.00 gamma=90.00
Atoms (fractional coordinates):
Ba  0.500  0.500  0.762
Os  0.500  0.500  0.242
Os  0.000  0.000  0.084
W  0.000  0.000  0.413

Model two:
BaOs2W after structural relaxation. Source: Alexandria via LeMat-Bulk, functional PBEsol.

Results
SG	P2/m, No. 10
mass density	15.11	g/cm³

Unit cell a=3.102 b=3.103 c=8.598 alpha=90.00 beta=111.37 gamma=90.00
Atoms (fractional coordinates):
Ba  0.000  0.500  0.500
Os  0.185  0.000  0.183
Os  0.815  0.000  0.817
W  0.500  0.500  0.000

Of them, model one has the lowest stability.

Model one:
BaZr2Os after structural relaxation. Source: Alexandria via LeMat-Bulk, functional PBEsol.

Results
SG	P4mm, No. 99
mass density	8.64	g/cm³

Unit cell a=3.353 b=3.353 c=8.721 alpha=90.00 beta=90.00 gamma=90.00
Atoms (fractional coordinates):
Zr  0.500  0.500  0.180
Zr  0.000  0.000  0.963
Os  0.500  0.500  0.813
Ba  0.000  0.000  0.544

Model two:
BaZr2Os after structural relaxation. Source: Alexandria via LeMat-Bulk, functional PBEsol.

Results
SG	C2/m, No. 12
mass density	9.96	g/cm³

Unit cell a=3.169 b=5.538 c=5.538 alpha=112.41 beta=100.35 gamma=100.35
Atoms (fractional coordinates):
Zr  0.000  0.500  0.000
Zr  0.000  0.000  0.500
Os  0.500  0.000  0.000
Ba  0.500  0.500  0.500

Of them, model two has the lowest stability.